1.
A plane-wave DFT calculation with PBE was carried out for a relaxed structure of Sr2Sc2Sn.

abc: 7.795 7.795 5.530
angles: 90.00 90.00 90.00
Atoms (fractional coordinates):
Sn 0.000 0.000 0.000
Sn 0.500 0.500 0.000
Sr 0.669 0.831 0.500
Sr 0.169 0.669 0.500
Sr 0.831 0.331 0.500
Sr 0.331 0.169 0.500
Sc 0.854 0.646 0.000
Sc 0.646 0.146 0.000
Sc 0.146 0.354 0.000
Sc 0.354 0.854 0.000

Properties
* energy: -40.5 eV per cell
* space-group type: P4/mbm, No. 127

***

2.
A plane-wave DFT calculation with PBE was carried out for a relaxed structure of KRbCrCl6.

abc: 7.395 7.395 6.461
angles: 90.00 90.00 60.00
Atoms (fractional coordinates):
Cl 0.333 0.588 0.292
Cl 0.079 0.588 0.708
Cl 0.588 0.333 0.708
Cl 0.333 0.079 0.708
Cl 0.079 0.333 0.292
Cl 0.588 0.079 0.292
K 0.667 0.667 0.500
Cr 0.333 0.333 0.500
Rb 0.000 0.000 0.000

Properties
* space-group type: P312, No. 149
* uncorrected formation energy: -1.3508 eV/atom

***

3.
A plane-wave DFT calculation with PBE was carried out for a relaxed structure of KVMoSe2.

abc: 4.982 5.593 4.982
angles: 90.00 90.00 90.00
Atoms (fractional coordinates):
Se 0.000 0.000 0.500
Se 0.500 0.000 0.000
V 0.000 0.000 0.000
Mo 0.500 0.500 0.500
K 0.000 0.500 0.000

Properties
* polymorph energy (0 for the lowest one): 0.0000 eV/atom
* space-group type: P4/mmm, No. 123
* uncorrected formation energy: 0.8612 eV/atom

***

Number 1: N(E_F) 1.3784 states/eV per atom. Number 2: N(E_F) 1.0488 states/eV per atom. Number 3: N(E_F) 0.6549 states/eV per atom.